First-principles (GGA-PBEsol) data for a geometry-optimized Ag2PRh structure, as listed in the Alexandria database.

Cell lengths 2.9723, 4.2746, 4.7159 Å; angles 90.00, 90.00, 90.00 degrees
Fractional coordinates of all 4 atoms:
Ag 0.0000 0.0000 0.0000
Ag 0.5000 0.5000 0.0000
P 0.5000 0.0000 0.5000
Rh 0.0000 0.5000 0.5000

Output
- SG = Pmmm (47)
- energy of formation from the pure elements (eV per atom) = 0.184
- D(E_F) (states/eV/f.u.) = 2.67
- VASP energy (eV for the cell shown) = -19.8